Entry from Alexandria: Cr2FeNi after structural relaxation (PBE).

```
Cr2FeNi
1.0
-0.073 -3.686 1.654
1.609 -0.606 3.656
-2.399 -0.747 3.164
Ni Fe Cr
1 1 2
Cartesian
-0.432 -2.519 4.237
0.000 0.000 0.000
-0.216 -1.260 2.119
-0.647 -3.779 6.356
```

- relative energy among the computed polymorphs (meV per atom) = 212.2

Entry from Alexandria: CrFe2Ni after structural relaxation (PBE).

```
CrFe2Ni
1.0
-1.147 3.986 -1.341
-2.348 3.583 0.808
3.045 2.334 2.139
Cr Fe Ni
1 2 1
Cartesian
-0.100 2.451 0.404
0.005 0.019 0.006
-0.364 7.430 1.190
-0.215 4.955 0.810
```

Entry from Alexandria: CrFeNi2 after structural relaxation (PBE).

```
CrFeNi2
1.0
-3.930 -0.887 -0.501
0.411 -2.290 0.835
-0.832 1.355 4.129
Ni Fe Cr
2 1 1
Cartesian
-0.755 1.026 4.102
-2.149 -0.346 1.023
-2.360 -0.814 3.506
-0.131 -0.801 2.442
```

E per entry: -8.11, -7.99, -7.38 eV/atom
E_form per entry: 0.26, 0.09, 0.03 eV per atom